No. 1
! RbCr2Te3 | Alexandria | PBE | optimized geometry; values from VASP
&SYSTEM
  ibrav = 0, nat = 12, ntyp = 3
/
ATOMIC_SPECIES
Rb 85.47 Rb.upf
Cr 52.00 Cr.upf
Te 127.60 Te.upf
CELL_PARAMETERS angstrom
2.100 -8.263 0.000
2.100 8.263 0.000
0.000 0.000 11.028
ATOMIC_POSITIONS crystal
Rb 0.246 0.754 0.750
Rb 0.754 0.246 0.250
Cr 0.000 0.000 0.000
Cr 0.000 0.000 0.500
Cr 0.468 0.532 0.250
Cr 0.532 0.468 0.750
Te 0.066 0.934 0.250
Te 0.388 0.612 0.043
Te 0.388 0.612 0.457
Te 0.612 0.388 0.543
Te 0.612 0.388 0.957
Te 0.934 0.066 0.750
! D(E_F)   0.483 states/eV/atom
! Formation energy without anion corrections   -32 kJ per mole of atoms
! Space-group type   No. 63



No. 2
! RbCr15Te24 | Alexandria | PBE | optimized geometry; values from VASP
&SYSTEM
  ibrav = 0, nat = 40, ntyp = 3
/
ATOMIC_SPECIES
Rb 85.47 Rb.upf
Cr 52.00 Cr.upf
Te 127.60 Te.upf
CELL_PARAMETERS angstrom
10.402 0.000 0.000
-4.505 10.966 0.000
-0.075 -6.439 9.972
ATOMIC_POSITIONS crystal
Rb 0.000 0.000 0.000
Cr 0.168 0.187 0.594
Cr 0.168 0.519 0.593
Cr 0.168 0.851 0.591
Cr 0.485 0.655 0.316
Cr 0.485 0.986 0.317
Cr 0.486 0.320 0.317
Cr 0.497 0.666 0.001
Cr 0.500 0.000 0.000
Cr 0.503 0.334 0.999
Cr 0.514 0.680 0.683
Cr 0.515 0.014 0.683
Cr 0.515 0.345 0.684
Cr 0.832 0.149 0.409
Cr 0.832 0.481 0.407
Cr 0.832 0.813 0.406
Te 0.005 0.330 0.658
Te 0.005 0.663 0.656
Te 0.005 0.996 0.656
Te 0.325 0.697 0.177
Te 0.328 0.030 0.177
Te 0.330 0.365 0.176
Te 0.338 0.706 0.853
Te 0.339 0.372 0.853
Te 0.340 0.040 0.853
Te 0.342 0.041 0.521
Te 0.342 0.374 0.521
Te 0.342 0.708 0.520
Te 0.658 0.292 0.480
Te 0.658 0.626 0.479
Te 0.658 0.959 0.479
Te 0.660 0.960 0.147
Te 0.661 0.628 0.147
Te 0.662 0.294 0.147
Te 0.670 0.635 0.824
Te 0.672 0.970 0.823
Te 0.675 0.303 0.823
Te 0.995 0.004 0.344
Te 0.995 0.337 0.344
Te 0.995 0.670 0.342
! D(E_F)   0.273 states/eV/atom
! Formation energy without anion corrections   -24 kJ per mole of atoms
! Space-group type   No. 2



No. 3
! RbCr5Te8 | Alexandria | PBE | optimized geometry; values from VASP
&SYSTEM
  ibrav = 0, nat = 14, ntyp = 3
/
ATOMIC_SPECIES
Rb 85.47 Rb.upf
Cr 52.00 Cr.upf
Te 127.60 Te.upf
CELL_PARAMETERS angstrom
10.286 -2.012 0.000
10.286 2.012 0.000
-2.432 0.000 9.338
ATOMIC_POSITIONS crystal
Rb 0.000 0.000 0.000
Cr 0.159 0.159 0.484
Cr 0.204 0.204 0.830
Cr 0.500 0.500 0.500
Cr 0.796 0.796 0.170
Cr 0.841 0.841 0.516
Te 0.073 0.073 0.659
Te 0.261 0.261 0.344
Te 0.329 0.329 0.010
Te 0.412 0.412 0.671
Te 0.588 0.588 0.329
Te 0.671 0.671 0.990
Te 0.739 0.739 0.656
Te 0.927 0.927 0.341
! D(E_F)   0.321 states/eV/atom
! Formation energy without anion corrections   -31 kJ per mole of atoms
! Space-group type   No. 12



No. 4
! Rb3CrTe3 | Alexandria | PBE | optimized geometry; values from VASP
&SYSTEM
  ibrav = 0, nat = 28, ntyp = 3
/
ATOMIC_SPECIES
Rb 85.47 Rb.upf
Cr 52.00 Cr.upf
Te 127.60 Te.upf
CELL_PARAMETERS angstrom
10.914 -3.822 0.000
10.914 3.822 0.000
0.000 0.000 14.611
ATOMIC_POSITIONS crystal
Rb 0.012 0.343 0.872
Rb 0.157 0.488 0.628
Rb 0.163 0.837 0.836
Rb 0.337 0.663 0.336
Rb 0.343 0.012 0.128
Rb 0.488 0.157 0.372
Rb 0.512 0.843 0.628
Rb 0.657 0.988 0.872
Rb 0.663 0.337 0.664
Rb 0.837 0.163 0.164
Rb 0.843 0.512 0.372
Rb 0.988 0.657 0.128
Cr 0.079 0.079 0.500
Cr 0.421 0.421 0.000
Cr 0.579 0.579 0.000
Cr 0.921 0.921 0.500
Te 0.010 0.686 0.387
Te 0.186 0.510 0.887
Te 0.206 0.794 0.586
Te 0.294 0.706 0.086
Te 0.314 0.990 0.387
Te 0.490 0.814 0.887
Te 0.510 0.186 0.113
Te 0.686 0.010 0.613
Te 0.706 0.294 0.914
Te 0.794 0.206 0.414
Te 0.814 0.490 0.113
Te 0.990 0.314 0.613
! D(E_F)   0.221 states/eV/atom
! Formation energy without anion corrections   -70 kJ per mole of atoms
! Space-group type   No. 64



No. 5
! RbCr2Te | Alexandria | PBE | optimized geometry; values from VASP
&SYSTEM
  ibrav = 0, nat = 8, ntyp = 3
/
ATOMIC_SPECIES
Rb 85.47 Rb.upf
Cr 52.00 Cr.upf
Te 127.60 Te.upf
CELL_PARAMETERS angstrom
-2.883 2.883 9.214
2.883 -2.883 9.214
2.883 2.883 -9.214
ATOMIC_POSITIONS crystal
Rb 0.375 0.625 0.750
Rb 0.625 0.375 0.250
Cr 0.000 0.000 0.000
Cr 0.000 0.000 0.500
Cr 0.000 0.500 0.000
Cr 0.500 0.000 0.500
Te 0.125 0.875 0.250
Te 0.875 0.125 0.750
! D(E_F)   0.521 states/eV/atom
! Formation energy without anion corrections   55 kJ per mole of atoms
! Space-group type   No. 141



No. 6
! RbCrTe | Alexandria | PBE | optimized geometry; values from VASP
&SYSTEM
  ibrav = 0, nat = 6, ntyp = 3
/
ATOMIC_SPECIES
Rb 85.47 Rb.upf
Cr 52.00 Cr.upf
Te 127.60 Te.upf
CELL_PARAMETERS angstrom
4.320 0.000 0.000
0.000 4.320 0.000
0.000 0.000 11.706
ATOMIC_POSITIONS crystal
Rb 0.250 0.250 0.190
Rb 0.750 0.750 0.810
Cr 0.250 0.750 0.500
Cr 0.750 0.250 0.500
Te 0.250 0.250 0.636
Te 0.750 0.750 0.364
! D(E_F)   0.538 states/eV/atom
! Formation energy without anion corrections   -12 kJ per mole of atoms
! Space-group type   No. 129



No. 7
! RbCr2Te2 | Alexandria | PBE | optimized geometry; values from VASP
&SYSTEM
  ibrav = 0, nat = 5, ntyp = 3
/
ATOMIC_SPECIES
Rb 85.47 Rb.upf
Cr 52.00 Cr.upf
Te 127.60 Te.upf
CELL_PARAMETERS angstrom
-1.960 1.960 8.317
1.960 -1.960 8.317
1.960 1.960 -8.317
ATOMIC_POSITIONS crystal
Rb 0.000 0.000 0.000
Cr 0.250 0.750 0.500
Cr 0.750 0.250 0.500
Te 0.354 0.354 0.000
Te 0.646 0.646 0.000
! D(E_F)   0.672 states/eV/atom
! Formation energy without anion corrections   -11 kJ per mole of atoms
! Space-group type   No. 139



No. 8
! Rb2CrTe2 | Alexandria | PBE | optimized geometry; values from VASP
&SYSTEM
  ibrav = 0, nat = 10, ntyp = 3
/
ATOMIC_SPECIES
Rb 85.47 Rb.upf
Cr 52.00 Cr.upf
Te 127.60 Te.upf
CELL_PARAMETERS angstrom
10.541 0.000 0.000
0.000 10.541 0.000
0.000 0.000 3.491
ATOMIC_POSITIONS crystal
Rb 0.124 0.376 0.000
Rb 0.376 0.876 0.000
Rb 0.624 0.124 0.000
Rb 0.876 0.624 0.000
Cr 0.000 0.000 0.000
Cr 0.500 0.500 0.000
Te 0.175 0.675 0.500
Te 0.325 0.175 0.500
Te 0.675 0.825 0.500
Te 0.825 0.325 0.500
! D(E_F)   0.314 states/eV/atom
! Formation energy without anion corrections   8 kJ per mole of atoms
! Space-group type   No. 127



No. 9
! Rb2CrTe2 | Alexandria | PBE | optimized geometry; values from VASP
&SYSTEM
  ibrav = 0, nat = 10, ntyp = 3
/
ATOMIC_SPECIES
Rb 85.47 Rb.upf
Cr 52.00 Cr.upf
Te 127.60 Te.upf
CELL_PARAMETERS angstrom
-3.822 7.447 3.571
3.822 -7.447 3.571
3.822 7.447 -3.571
ATOMIC_POSITIONS crystal
Rb 0.143 0.173 0.317
Rb 0.357 0.673 0.030
Rb 0.643 0.327 0.970
Rb 0.857 0.827 0.683
Cr 0.250 0.750 0.500
Cr 0.750 0.250 0.500
Te 0.105 0.680 0.785
Te 0.395 0.180 0.575
Te 0.605 0.820 0.425
Te 0.895 0.320 0.215
! D(E_F)   0.556 states/eV/atom
! Formation energy without anion corrections   -61 kJ per mole of atoms
! Space-group type   No. 72



No. 10
! Rb3Th3CrTe8 | Alexandria | PBE | optimized geometry; values from VASP
&SYSTEM
  ibrav = 0, nat = 15, ntyp = 4
/
ATOMIC_SPECIES
Rb 85.47 Rb.upf
Th 232.04 Th.upf
Cr 52.00 Cr.upf
Te 127.60 Te.upf
CELL_PARAMETERS angstrom
7.769 -4.487 0.000
7.769 4.487 0.000
-5.179 0.000 8.814
ATOMIC_POSITIONS crystal
Rb 0.000 0.000 0.000
Rb 0.000 0.500 0.000
Rb 0.500 0.000 0.000
Th 0.000 0.500 0.500
Th 0.500 0.000 0.500
Th 0.500 0.500 0.500
Cr 0.000 0.000 0.500
Te 0.223 0.223 0.691
Te 0.224 0.744 0.692
Te 0.256 0.776 0.308
Te 0.264 0.264 0.289
Te 0.736 0.736 0.711
Te 0.744 0.224 0.692
Te 0.776 0.256 0.308
Te 0.777 0.777 0.309
! D(E_F)   0.542 states/eV/atom
! Formation energy without anion corrections   -98 kJ per mole of atoms
! Space-group type   No. 12



No. 11
! RbTiCrTe3 | Alexandria | PBE | optimized geometry; values from VASP
&SYSTEM
  ibrav = 0, nat = 12, ntyp = 4
/
ATOMIC_SPECIES
Rb 85.47 Rb.upf
Ti 47.87 Ti.upf
Cr 52.00 Cr.upf
Te 127.60 Te.upf
CELL_PARAMETERS angstrom
9.339 0.000 0.000
0.000 4.135 0.000
-4.042 0.000 9.919
ATOMIC_POSITIONS crystal
Rb 0.001 0.250 0.251
Rb 0.999 0.750 0.749
Ti 0.498 0.750 0.368
Ti 0.502 0.250 0.632
Cr 0.437 0.250 0.111
Cr 0.563 0.750 0.889
Te 0.246 0.750 0.125
Te 0.304 0.750 0.510
Te 0.350 0.250 0.830
Te 0.650 0.750 0.170
Te 0.696 0.250 0.490
Te 0.754 0.250 0.875
! D(E_F)   0.279 states/eV/atom
! Formation energy without anion corrections   -56 kJ per mole of atoms
! Space-group type   No. 11



No. 12
! Rb3TiCr2Te6 | Alexandria | PBE | optimized geometry; values from VASP
&SYSTEM
  ibrav = 0, nat = 12, ntyp = 4
/
ATOMIC_SPECIES
Rb 85.47 Rb.upf
Ti 47.87 Ti.upf
Cr 52.00 Cr.upf
Te 127.60 Te.upf
CELL_PARAMETERS angstrom
3.643 -6.311 0.000
3.643 6.311 0.000
-2.430 0.000 8.318
ATOMIC_POSITIONS crystal
Rb 0.000 0.000 0.000
Rb 0.335 0.665 0.000
Rb 0.665 0.335 0.000
Ti 0.500 0.500 0.500
Cr 0.167 0.833 0.500
Cr 0.833 0.167 0.500
Te 0.104 0.442 0.325
Te 0.220 0.220 0.674
Te 0.442 0.104 0.325
Te 0.558 0.896 0.675
Te 0.780 0.780 0.326
Te 0.896 0.558 0.675
! D(E_F)   0.578 states/eV/atom
! Formation energy without anion corrections   -59 kJ per mole of atoms
! Space-group type   No. 12



No. 13
! Rb3U2CrTe6 | Alexandria | PBE | optimized geometry; values from VASP
&SYSTEM
  ibrav = 0, nat = 12, ntyp = 4
/
ATOMIC_SPECIES
Rb 85.47 Rb.upf
U 238.03 U.upf
Cr 52.00 Cr.upf
Te 127.60 Te.upf
CELL_PARAMETERS angstrom
3.933 -6.602 0.000
3.933 6.602 0.000
-2.738 0.000 8.558
ATOMIC_POSITIONS crystal
Rb 0.000 0.000 0.000
Rb 0.327 0.673 0.000
Rb 0.673 0.327 0.000
U 0.164 0.836 0.500
U 0.836 0.164 0.500
Cr 0.500 0.500 0.500
Te 0.125 0.437 0.313
Te 0.229 0.229 0.710
Te 0.437 0.125 0.313
Te 0.563 0.875 0.687
Te 0.771 0.771 0.290
Te 0.875 0.563 0.687
! D(E_F)   1.514 states/eV/atom
! Formation energy without anion corrections   -68 kJ per mole of atoms
! Space-group type   No. 12



No. 14
! Rb4U3CrTe8 | Alexandria | PBE | optimized geometry; values from VASP
&SYSTEM
  ibrav = 0, nat = 16, ntyp = 4
/
ATOMIC_SPECIES
Rb 85.47 Rb.upf
U 238.03 U.upf
Cr 52.00 Cr.upf
Te 127.60 Te.upf
CELL_PARAMETERS angstrom
7.760 -4.478 0.000
7.760 4.478 0.000
-5.179 0.000 8.580
ATOMIC_POSITIONS crystal
Rb 0.000 0.000 0.000
Rb 0.000 0.500 0.000
Rb 0.500 0.000 0.000
Rb 0.500 0.500 0.000
U 0.000 0.000 0.500
U 0.000 0.500 0.500
U 0.500 0.000 0.500
Cr 0.500 0.500 0.500
Te 0.235 0.235 0.705
Te 0.243 0.725 0.693
Te 0.274 0.274 0.306
Te 0.275 0.757 0.307
Te 0.725 0.243 0.693
Te 0.726 0.726 0.694
Te 0.757 0.275 0.307
Te 0.765 0.765 0.295
! D(E_F)   1.279 states/eV/atom
! Formation energy without anion corrections   -72 kJ per mole of atoms
! Space-group type   No. 12



No. 15
! Rb3UCr2Te6 | Alexandria | PBE | optimized geometry; values from VASP
&SYSTEM
  ibrav = 0, nat = 12, ntyp = 4
/
ATOMIC_SPECIES
Rb 85.47 Rb.upf
U 238.03 U.upf
Cr 52.00 Cr.upf
Te 127.60 Te.upf
CELL_PARAMETERS angstrom
3.722 -6.440 0.000
3.722 6.440 0.000
-2.492 0.000 8.506
ATOMIC_POSITIONS crystal
Rb 0.000 0.000 0.000
Rb 0.340 0.660 0.000
Rb 0.660 0.340 0.000
U 0.500 0.500 0.500
Cr 0.167 0.833 0.500
Cr 0.833 0.167 0.500
Te 0.083 0.438 0.315
Te 0.206 0.206 0.683
Te 0.438 0.083 0.315
Te 0.562 0.917 0.685
Te 0.794 0.794 0.317
Te 0.917 0.562 0.685
! D(E_F)   0.683 states/eV/atom
! Formation energy without anion corrections   -60 kJ per mole of atoms
! Space-group type   No. 12



No. 16
! Rb3U3CrTe8 | Alexandria | PBE | optimized geometry; values from VASP
&SYSTEM
  ibrav = 0, nat = 15, ntyp = 4
/
ATOMIC_SPECIES
Rb 85.47 Rb.upf
U 238.03 U.upf
Cr 52.00 Cr.upf
Te 127.60 Te.upf
CELL_PARAMETERS angstrom
4.371 2.524 8.852
-4.371 2.524 8.852
0.000 -5.047 8.852
ATOMIC_POSITIONS crystal
Rb 0.000 0.500 0.500
Rb 0.500 0.000 0.500
Rb 0.500 0.500 0.000
U 0.000 0.000 0.500
U 0.000 0.500 0.000
U 0.500 0.000 0.000
Cr 0.500 0.500 0.500
Te 0.235 0.235 0.235
Te 0.247 0.721 0.721
Te 0.279 0.279 0.753
Te 0.279 0.753 0.279
Te 0.721 0.247 0.721
Te 0.721 0.721 0.247
Te 0.753 0.279 0.279
Te 0.765 0.765 0.765
! D(E_F)   1.445 states/eV/atom
! Formation energy without anion corrections   -69 kJ per mole of atoms
! Space-group type   No. 166



No. 17
! Rb2Zn2CrTe4 | Alexandria | PBE | optimized geometry; values from VASP
&SYSTEM
  ibrav = 0, nat = 9, ntyp = 4
/
ATOMIC_SPECIES
Rb 85.47 Rb.upf
Zn 65.41 Zn.upf
Cr 52.00 Cr.upf
Te 127.60 Te.upf
CELL_PARAMETERS angstrom
8.841 -2.129 0.000
8.841 2.129 0.000
-2.472 0.000 7.903
ATOMIC_POSITIONS crystal
Rb 0.124 0.124 0.043
Rb 0.876 0.876 0.957
Zn 0.327 0.327 0.517
Zn 0.673 0.673 0.483
Cr 0.000 0.000 0.500
Te 0.213 0.213 0.688
Te 0.479 0.479 0.705
Te 0.521 0.521 0.295
Te 0.787 0.787 0.312
! Formation energy without anion corrections   -55 kJ per mole of atoms
! Space-group type   No. 12



No. 18
! RbTiCr2 | Alexandria | PBE | optimized geometry; values from VASP
&SYSTEM
  ibrav = 0, nat = 8, ntyp = 3
/
ATOMIC_SPECIES
Rb 85.47 Rb.upf
Ti 47.87 Ti.upf
Cr 52.00 Cr.upf
CELL_PARAMETERS angstrom
-2.759 2.759 8.496
2.759 -2.759 8.496
2.759 2.759 -8.496
ATOMIC_POSITIONS crystal
Rb 0.375 0.625 0.750
Rb 0.625 0.375 0.250
Ti 0.125 0.875 0.250
Ti 0.875 0.125 0.750
Cr 0.000 0.000 0.000
Cr 0.000 0.000 0.500
Cr 0.000 0.500 0.000
Cr 0.500 0.000 0.500
! D(E_F)   1.444 states/eV/atom
! Space-group type   No. 141
! ΔH_f (0 K)   1.611 eV/atom



No. 19
! RbTiCr2 | Alexandria | PBE | optimized geometry; values from VASP
&SYSTEM
  ibrav = 0, nat = 4, ntyp = 3
/
ATOMIC_SPECIES
Rb 85.47 Rb.upf
Ti 47.87 Ti.upf
Cr 52.00 Cr.upf
CELL_PARAMETERS angstrom
0.000 3.571 3.571
3.571 0.000 3.571
3.571 3.571 0.000
ATOMIC_POSITIONS crystal
Rb 0.000 0.000 0.000
Ti 0.500 0.500 0.500
Cr 0.250 0.250 0.250
Cr 0.750 0.750 0.750
! D(E_F)   1.264 states/eV/atom
! Space-group type   No. 225
! ΔH_f (0 K)   1.546 eV/atom



No. 20
! RbTiCr3 | Alexandria | PBE | optimized geometry; values from VASP
&SYSTEM
  ibrav = 0, nat = 5, ntyp = 3
/
ATOMIC_SPECIES
Rb 85.47 Rb.upf
Ti 47.87 Ti.upf
Cr 52.00 Cr.upf
CELL_PARAMETERS angstrom
4.976 0.000 0.000
0.000 4.976 0.000
0.000 0.000 4.976
ATOMIC_POSITIONS crystal
Rb 0.000 0.000 0.000
Ti 0.500 0.500 0.500
Cr 0.000 0.500 0.500
Cr 0.500 0.000 0.500
Cr 0.500 0.500 0.000
! D(E_F)   0.446 states/eV/atom
! Space-group type   No. 221
! ΔH_f (0 K)   1.473 eV/atom